19
Lattice="-3.9463 3.9463 3.9463 3.9463 -3.9463 3.9463 3.9463 3.9463 -3.9463" Properties=species:S:1:pos:R:3 comment="Mg4Ag3F12, optimized geometry, DFT PBE" sg="No. 204" vol_a3_per_atom=12.94 e_form_raw_ev_per_atom=-2.6134 pbc="T T T"
Mg 1.9732 1.9732 -1.9732
Mg 1.9732 -1.9732 1.9732
Mg -1.9732 1.9732 1.9732
Mg 1.9732 1.9732 1.9732
Ag 3.9463 0.0000 0.0000
Ag 0.0000 3.9463 0.0000
Ag 0.0000 0.0000 3.9463
F 3.9463 2.2739 -1.6392
F 2.3071 0.0000 1.6724
F 5.5855 0.0000 1.6724
F 1.6724 2.3071 0.0000
F 2.2739 -1.6392 3.9463
F 3.9463 2.2739 1.6392
F 0.0000 1.6724 2.3071
F 1.6724 5.5855 0.0000
F 2.2739 1.6392 3.9463
F -1.6392 3.9463 2.2739
F 1.6392 3.9463 2.2739
F 0.0000 1.6724 5.5855